[1]
DFT (GGA-PBE) results for a relaxed structure of SiRuPb4.

Unit cell a=6.2183 b=6.2183 c=6.2183 alpha=60.00 beta=60.00 gamma=60.00
Fractional coordinates of all 6 atoms:
1 Si 0.0000 0.0000 0.0000
2 Ru 0.2500 0.2500 0.2500
3 Pb 0.1257 0.6248 0.6248
4 Pb 0.6248 0.1257 0.6248
5 Pb 0.6248 0.6248 0.1257
6 Pb 0.6248 0.6248 0.6248

Properties
Formation energy (no corrections) ... 612 kJ/mol of formula units
Raw total energy ... -23.19 eV/cell
Symmetry ... F-43m (216)
Crystal system ... cubic
Total magnetic moment ... 1.49 μB per formula unit


[2]
DFT (GGA-PBE) results for a relaxed structure of SiRuPb2.

Unit cell a=3.2142 b=3.2142 c=8.4365 alpha=90.00 beta=90.00 gamma=90.00
Fractional coordinates of all 4 atoms:
1 Si 0.0000 0.0000 0.0000
2 Ru 0.5000 0.5000 0.8860
3 Pb 0.0000 0.0000 0.6264
4 Pb 0.5000 0.5000 0.2529

Properties
Formation energy (no corrections) ... -4 kJ/mol of formula units
Raw total energy ... -22.15 eV/cell
Symmetry ... P4mm (99)
Crystal system ... tetragonal
Total magnetic moment ... 0.00 μB per formula unit


[3]
DFT (GGA-PBE) results for a relaxed structure of SiRu2Pb.

Unit cell a=5.7355 b=5.7355 c=5.7355 alpha=104.35 beta=104.35 gamma=120.27
Fractional coordinates of all 8 atoms:
1 Si 0.0000 0.0000 0.0000
2 Si 0.7500 0.2500 0.5000
3 Ru 0.0573 0.6250 0.9323
4 Ru 0.3750 0.3073 0.4323
5 Ru 0.6927 0.1250 0.0677
6 Ru 0.8750 0.9427 0.5677
7 Pb 0.2500 0.7500 0.5000
8 Pb 0.5000 0.5000 0.0000

Properties
Formation energy (no corrections) ... 116 kJ/mol of formula units
Raw total energy ... -52.97 eV/cell
ΔE to the lowest computed polymorph ... 316 meV per atom
Symmetry ... I-42d (122)
Crystal system ... tetragonal
Total magnetic moment ... 0.00 μB per formula unit


[4]
DFT (GGA-PBE) results for a relaxed structure of SiRuPb2.

Unit cell a=4.9412 b=4.9412 c=4.9412 alpha=120.45 beta=120.45 gamma=89.22
Fractional coordinates of all 4 atoms:
1 Si 0.0000 0.0000 0.0000
2 Ru 0.2500 0.7500 0.5000
3 Pb 0.5000 0.5000 0.0000
4 Pb 0.7500 0.2500 0.5000

Properties
Formation energy (no corrections) ... 269 kJ/mol of formula units
Raw total energy ... -19.33 eV/cell
Symmetry ... I-4m2 (119)
Crystal system ... tetragonal
Total magnetic moment ... 0.00 μB per formula unit


[5]
DFT (GGA-PBE) results for a relaxed structure of SiRu2Pb.

Unit cell a=7.7983 b=7.7983 c=7.7983 alpha=23.78 beta=23.78 gamma=23.78
Fractional coordinates of all 4 atoms:
1 Si 0.0000 0.0000 0.0000
2 Ru 0.2664 0.2664 0.2664
3 Ru 0.7336 0.7336 0.7336
4 Pb 0.5000 0.5000 0.5000

Properties
Formation energy (no corrections) ... 38 kJ/mol of formula units
Raw total energy ... -27.29 eV/cell
ΔE to the lowest computed polymorph ... 114 meV per atom
Symmetry ... R-3m (166)
Crystal system ... trigonal
Total magnetic moment ... 0.00 μB per formula unit


[6]
DFT (GGA-PBE) results for a relaxed structure of SiRuPb2.

Unit cell a=3.3295 b=3.2903 c=7.8124 alpha=90.00 beta=90.40 gamma=90.00
Fractional coordinates of all 4 atoms:
1 Si 0.0000 0.0000 0.0000
2 Ru 0.0000 0.0000 0.5000
3 Pb 0.4978 0.5000 0.2793
4 Pb 0.5022 0.5000 0.7207

Properties
Formation energy (no corrections) ... 222 kJ/mol of formula units
Raw total energy ... -19.81 eV/cell
Symmetry ... P2/m (10)
Crystal system ... monoclinic
Total magnetic moment ... 0.00 μB per formula unit


[7]
DFT (GGA-PBE) results for a relaxed structure of SiRu2Pb.

Unit cell a=5.3598 b=5.3598 c=5.3598 alpha=138.95 beta=138.95 gamma=59.45
Fractional coordinates of all 4 atoms:
1 Si 0.0000 0.0000 0.0000
2 Ru 0.5000 0.5000 0.0000
3 Ru 0.7500 0.2500 0.5000
4 Pb 0.2500 0.7500 0.5000

Properties
Formation energy (no corrections) ... 188 kJ/mol of formula units
Raw total energy ... -25.74 eV/cell
ΔE to the lowest computed polymorph ... 502 meV per atom
Symmetry ... I-4m2 (119)
Crystal system ... tetragonal
Total magnetic moment ... 0.01 μB per formula unit


[8]
DFT (GGA-PBE) results for a relaxed structure of SiRu2Pb.

Unit cell a=3.0496 b=3.0496 c=6.7516 alpha=90.00 beta=90.00 gamma=90.00
Fractional coordinates of all 4 atoms:
1 Si 0.0000 0.0000 0.0000
2 Ru 0.5000 0.5000 0.2053
3 Ru 0.5000 0.5000 0.7947
4 Pb 0.0000 0.0000 0.5000

Properties
Formation energy (no corrections) ... -6 kJ/mol of formula units
Raw total energy ... -27.75 eV/cell
ΔE to the lowest computed polymorph ... 0 meV per atom
Symmetry ... P4/mmm (123)
Crystal system ... tetragonal
Total magnetic moment ... 0.00 μB per formula unit


[9]
DFT (GGA-PBE) results for a relaxed structure of Si3RuPb.

Unit cell a=4.6997 b=4.6997 c=4.6997 alpha=90.00 beta=90.00 gamma=90.00
Fractional coordinates of all 5 atoms:
1 Si 0.0000 0.0000 0.5000
2 Si 0.0000 0.5000 0.0000
3 Si 0.5000 0.0000 0.0000
4 Ru 0.0000 0.0000 0.0000
5 Pb 0.5000 0.5000 0.5000

Properties
Formation energy (no corrections) ... 187 kJ/mol of formula units
Raw total energy ... -27.31 eV/cell
ΔE to the lowest computed polymorph ... 0 meV per atom
Symmetry ... Pm-3m (221)
Crystal system ... cubic
Total magnetic moment ... 0.00 μB per formula unit


[10]
DFT (GGA-PBE) results for a relaxed structure of SiRu2Pb.

Unit cell a=3.0736 b=3.7143 c=6.0277 alpha=90.00 beta=104.47 gamma=90.00
Fractional coordinates of all 4 atoms:
1 Si 0.0000 0.0000 0.0000
2 Ru 0.1657 0.5000 0.7932
3 Ru 0.8343 0.5000 0.2068
4 Pb 0.5000 0.0000 0.5000

Properties
Formation energy (no corrections) ... 54 kJ/mol of formula units
Raw total energy ... -27.12 eV/cell
ΔE to the lowest computed polymorph ... 156 meV per atom
Symmetry ... P2/m (10)
Crystal system ... monoclinic
Total magnetic moment ... 0.00 μB per formula unit


[11]
DFT (GGA-PBE) results for a relaxed structure of SiRuPb2.

Unit cell a=4.4835 b=3.8097 c=5.6022 alpha=90.00 beta=113.50 gamma=90.00
Fractional coordinates of all 4 atoms:
1 Si 0.0000 0.0000 0.0000
2 Ru 0.1235 0.5000 0.2577
3 Pb 0.4192 0.5000 0.8433
4 Pb 0.7138 0.0000 0.4329

Properties
Formation energy (no corrections) ... 68 kJ/mol of formula units
Raw total energy ... -21.41 eV/cell
Symmetry ... Pm (6)
Crystal system ... monoclinic
Total magnetic moment ... 0.00 μB per formula unit


[12]
DFT (GGA-PBE) results for a relaxed structure of SiRuPb2.

Unit cell a=3.4586 b=4.7860 c=5.1234 alpha=90.00 beta=90.00 gamma=90.00
Fractional coordinates of all 4 atoms:
1 Si 0.0000 0.0000 0.0000
2 Ru 0.0000 0.5000 0.5000
3 Pb 0.5000 0.0000 0.5000
4 Pb 0.5000 0.5000 0.0000

Properties
Formation energy (no corrections) ... 265 kJ/mol of formula units
Raw total energy ... -19.37 eV/cell
Symmetry ... Pmmm (47)
Crystal system ... orthorhombic
Total magnetic moment ... 0.00 μB per formula unit